! Cu4SiPt, optimized geometry, DFT GGA-PBE; values from VASP
&SYSTEM
  ibrav = 0, nat = 6, ntyp = 3
/
ATOMIC_SPECIES
Cu 63.55 Cu.upf
Si 28.09 Si.upf
Pt 195.08 Pt.upf
ATOMIC_POSITIONS angstrom
Cu -4.732 -3.580 -2.701
Cu -2.792 -4.814 -3.396
Cu -3.744 -5.196 -1.223
Cu -2.599 -3.135 -1.689
Si 0.000 0.000 0.000
Pt -5.200 -6.272 -3.378
CELL_PARAMETERS angstrom
-2.287 -4.118 0.930
-4.262 -0.889 -2.023
-0.385 -3.356 -3.412
! Space-group type = F-43m
! M_tot = 0.00 μB per formula unit
! Calculated density = 10130 kg/m3
! Energy relative to the elements, uncorrected = 0.08 eV/atom